No. 1
VASP calculation (PBE) on a relaxed structure of YBi2RhO6.

Results
The raw formation energy is -155.5 kJ/mol of atoms. Its density is 8398 kg/m3. As for the crystal system: monoclinic. Its total DFT energy (no corrections) is -134.9 eV per cell.

Cell lengths 5.600, 6.100, 9.817 Å; angles 90.00, 123.67, 90.00 degrees
Space group P2_1/c (No. 14)
Asymmetric unit:
Y: 0.000 0.000 0.000
Bi: 0.244 0.056 0.730
Rh: 0.500 0.000 0.500
O: 0.141 0.053 0.265
O: 0.211 0.668 0.033
O: 0.386 0.214 0.072

=====

No. 2
VASP calculation (PBE) on a relaxed structure of ZnBi2RhO6.

Results
The raw formation energy is -103.3 kJ/mol of atoms. Its density is 8620 kg/m3. As for the crystal system: trigonal. Its total DFT energy (no corrections) is -170.5 eV per cell.

Cell lengths 5.6803, 5.6803, 14.1096 Å; angles 90.00, 90.00, 120.00 degrees
Space group R3 (No. 146, hexagonal axes)
Asymmetric unit:
Zn: 0.0000 0.0000 0.0000
Bi: 0.0000 0.0000 0.2678
Bi: 0.0000 0.0000 0.7749
Rh: 0.0000 0.0000 0.4850
O: 0.0828 0.3458 0.5572
O: 0.0879 0.7238 0.0597

=====

No. 3
VASP calculation (PBE) on a relaxed structure of Bi2RuO6.

Results
The raw formation energy is -89.0 kJ/mol of atoms. The energy above the most stable polymorph in this dataset comes out at 84 meV/atom. Its density is 7136 kg/m3. As for the crystal system: tetragonal. Its total DFT energy (no corrections) is -110.2 eV per cell.

Cell lengths 4.217, 4.217, 16.096 Å; angles 90.00, 90.00, 90.00 degrees
Space group I-42m (No. 121)
Asymmetric unit:
Bi: 0.000 0.000 0.179
Ru: 0.000 0.000 0.500
O: 0.000 0.500 0.250
O: 0.236 0.236 0.431

=====

No. 4
VASP calculation (PBE) on a relaxed structure of Bi4Ru6O19.

Results
The raw formation energy is -96.0 kJ/mol of atoms. Its density is 7798 kg/m3. As for the crystal system: cubic. Its total DFT energy (no corrections) is -388.5 eV per cell.

Cell lengths 9.060, 9.060, 9.060 Å; angles 90.00, 90.00, 90.00 degrees
Space group I23 (No. 197)
Asymmetric unit:
Bi: 0.154 0.154 0.154
Ru: 0.000 0.140 0.500
O: 0.000 0.000 0.000
O: 0.000 0.000 0.322
O: 0.001 0.284 0.658

=====

No. 5
VASP calculation (PBE) on a relaxed structure of Bi2RuO.

Results
The raw formation energy is 8.4 kJ/mol of atoms. Its density is 9149 kg/m3. As for the crystal system: tetragonal. Its total DFT energy (no corrections) is -86.6 eV per cell.

Cell lengths 5.786, 5.786, 11.601 Å; angles 90.00, 90.00, 90.00 degrees
Space group I-42d (No. 122)
Asymmetric unit:
Bi: 0.218 0.250 0.125
Ru: 0.000 0.000 0.500
O: 0.000 0.000 0.000

=====

No. 6
VASP calculation (PBE) on a relaxed structure of BiRuO2.

Results
The raw formation energy is -19.0 kJ/mol of atoms. Its density is 8367 kg/m3. As for the crystal system: tetragonal. Its total DFT energy (no corrections) is -95.4 eV per cell.

Cell lengths 5.299, 5.299, 9.668 Å; angles 90.00, 90.00, 90.00 degrees
Space group I-42d (No. 122)
Asymmetric unit:
Bi: 0.000 0.000 0.000
Ru: 0.000 0.000 0.500
O: 0.158 0.250 0.625

=====

No. 7
VASP calculation (PBE) on a relaxed structure of Bi3RuO.

Results
The raw formation energy is 72.5 kJ/mol of atoms. The energy above the most stable polymorph in this dataset comes out at 491 meV/atom. Its density is 8643 kg/m3. As for the crystal system: cubic. Its total DFT energy (no corrections) is -22.1 eV per cell.

Cell lengths 5.229, 5.229, 5.229 Å; angles 90.00, 90.00, 90.00 degrees
Space group Pm-3m (No. 221)
Asymmetric unit:
Bi: 0.000 0.000 0.500
Ru: 0.000 0.000 0.000
O: 0.500 0.500 0.500

=====

No. 8
VASP calculation (PBE) on a relaxed structure of BiRuO3.

Results
The raw formation energy is -63.2 kJ/mol of atoms. Its density is 9578 kg/m3. As for the crystal system: cubic. Its total DFT energy (no corrections) is -31.3 eV per cell.

Cell lengths 3.959, 3.959, 3.959 Å; angles 90.00, 90.00, 90.00 degrees
Space group Pm-3m (No. 221)
Asymmetric unit:
Bi: 0.000 0.000 0.000
Ru: 0.500 0.500 0.500
O: 0.000 0.500 0.500

=====

No. 9
VASP calculation (PBE) on a relaxed structure of Bi5Ru2O12.

Results
The raw formation energy is -108.9 kJ/mol of atoms. Its density is 8542 kg/m3. As for the crystal system: monoclinic. Its total DFT energy (no corrections) is -237.8 eV per cell.

Cell lengths 12.857, 5.982, 7.610 Å; angles 90.00, 107.07, 90.00 degrees
Space group C2/m (No. 12)
Asymmetric unit:
Bi: 0.000 0.000 0.000
Bi: 0.193 0.500 0.335
Bi: 0.194 0.500 0.856
Ru: 0.000 0.236 0.500
O: 0.000 0.000 0.313
O: 0.001 0.500 0.327
O: 0.154 0.250 0.078
O: 0.161 0.257 0.581

=====

No. 10
VASP calculation (PBE) on a relaxed structure of BiRu2O7.

Results
The raw formation energy is -83.0 kJ/mol of atoms. Its density is 6540 kg/m3. As for the crystal system: orthorhombic. Its total DFT energy (no corrections) is -263.0 eV per cell.

Cell lengths 7.218, 7.253, 10.150 Å; angles 90.00, 90.00, 90.00 degrees
Space group I2_12_12_1 (No. 24)
Asymmetric unit:
Bi: 0.250 0.244 0.000
Ru: 0.002 0.500 0.250
Ru: 0.250 0.250 0.500
O: 0.000 0.250 0.174
O: 0.000 0.250 0.550
O: 0.000 0.250 0.885
O: 0.189 0.456 0.380
O: 0.191 0.042 0.380

=====

No. 11
VASP calculation (PBE) on a relaxed structure of BiRuO.

Results
The raw formation energy is -13.0 kJ/mol of atoms. Its density is 9621 kg/m3. As for the crystal system: tetragonal. Its total DFT energy (no corrections) is -74.1 eV per cell.

Cell lengths 8.443, 8.443, 3.158 Å; angles 90.00, 90.00, 90.00 degrees
Space group P4_2/m (No. 84)
Asymmetric unit:
Bi: 0.019 0.681 0.000
Ru: 0.305 0.689 0.500
O: 0.304 0.453 0.500

=====

No. 12
VASP calculation (PBE) on a relaxed structure of Bi3RuO7.

Results
The raw formation energy is -109.9 kJ/mol of atoms. Its density is 8716 kg/m3. As for the crystal system: orthorhombic. Its total DFT energy (no corrections) is -272.6 eV per cell.

Cell lengths 7.858, 10.784, 7.555 Å; angles 90.00, 90.00, 90.00 degrees
Space group C222_1 (No. 20)
Asymmetric unit:
Bi: 0.043 0.000 0.000
Bi: 0.234 0.265 0.757
Ru: 0.002 0.500 0.000
O: 0.000 0.136 0.250
O: 0.000 0.139 0.750
O: 0.000 0.447 0.750
O: 0.172 0.371 0.035
O: 0.199 0.380 0.470